Record 1
Entry from Alexandria: a geometry-optimized ReW2Cl structure (PBE).

POSCAR file:
```
ReW2Cl
1.0
2.8270 0.0000 0.0000
0.0000 4.2622 0.0000
-1.3177 0.0000 5.2807
Re W Cl
1 2 1
Cartesian
0.0000 0.0000 0.0000
0.3659 0.0000 2.6262
1.6419 2.1311 1.0571
0.3757 2.1311 3.9354
```

Properties
The calculation puts the energy relative to the lowest polymorph listed for this composition at 6.88 kcal/mol of atoms. The magnetization is 0.000 μB/atom. For the uncorrected formation energy, the calculation gives 0.701 eV/atom. The total DFT energy (no corrections) comes out at -37.397 eV/f.u. The crystal system is monoclinic. The value obtained for the density of states at the Fermi level is 2.187 states/eV/f.u.

=====

Record 2
Entry from Alexandria: a geometry-optimized Fe2AgGeB structure (PBE).

POSCAR file:
```
Fe2AgGeB
1.0
3.9740 0.0000 0.0000
0.0000 3.9740 0.0000
0.0000 0.0000 4.2294
Fe Ag Ge B
2 1 1 1
Cartesian
0.0000 1.9870 0.0000
1.9870 0.0000 0.0000
0.0000 0.0000 2.1147
1.9870 1.9870 2.1147
1.9870 1.9870 0.0000
```

Properties
The magnetization is 0.856 μB/atom. Its energy of formation is 0.424 eV per atom. The total DFT energy (no corrections) comes out at -28.952 eV/f.u. The crystal system is tetragonal. The value obtained for the density of states at the Fermi level is 3.191 states/eV/f.u.

=====

Record 3
Entry from Alexandria: a geometry-optimized CaReRh2W structure (PBE).

POSCAR file:
```
CaReRh2W
1.0
4.4587 0.0000 0.0000
0.0000 4.4587 0.0000
0.0000 0.0000 4.7482
Ca Re Rh W
1 1 2 1
Cartesian
0.0000 0.0000 0.0000
2.2293 2.2293 2.3741
0.0000 2.2293 0.0000
2.2293 0.0000 0.0000
0.0000 0.0000 2.3741
```

Properties
The magnetization is 0.000 μB/atom. Its energy of formation is 2.523 eV per atom. The total DFT energy (no corrections) comes out at -29.492 eV/f.u. The crystal system is tetragonal. The value obtained for the density of states at the Fermi level is 7.425 states/eV/f.u.

=====

Record 4
Entry from Alexandria: a geometry-optimized RbCd3Pd structure (PBE).

POSCAR file:
```
RbCd3Pd
1.0
6.1474 0.0000 0.0000
-1.9727 6.4769 0.0000
-1.2463 -1.8603 6.7972
Rb Cd Pd
2 6 2
Cartesian
0.0000 0.0000 0.0000
-0.0950 4.6416 4.7168
-1.6291 1.4516 5.2306
1.2251 3.7650 1.3752
2.6637 0.5496 2.1085
1.4687 1.5153 5.6058
3.1067 5.6040 3.1763
4.4996 2.9768 1.3954
0.1962 1.6051 3.0933
2.7834 2.9044 3.5736
```

Properties
The calculation puts the energy relative to the lowest polymorph listed for this composition at 1.63 kcal/mol of atoms. The magnetization is 0.000 μB/atom. Its energy of formation is -0.123 eV per atom. The total DFT energy (no corrections) comes out at -9.520 eV/f.u. The crystal system is triclinic. The value obtained for the density of states at the Fermi level is 1.127 states/eV/f.u.